Entry 1:
The following is a GGA-PBE calculation of Tb6Sm12In after structural relaxation, from the Alexandria database.

Properties
Calculated volume: 33.18 Å³ per atom
ΔH_f (0 K): 65.9 meV/atom
Space group: R-3

abc: 8.5766 8.5766 8.5766
angles: 88.70 88.70 88.70
With the nearest neighbours (Å) after each atom.
Fractional positions:
Sm  0.9855  0.8169  0.6385  4 Tb 3.46-3.72, 1 In 3.51, 4 Sm 3.52-3.66
Sm  0.0145  0.1831  0.3615  4 Tb 3.46-3.72, 1 In 3.51, 4 Sm 3.52-3.66
Sm  0.7822  0.5385  0.4324  3 Tb 3.34-3.52, 6 Sm 3.35-3.73
Sm  0.1831  0.3615  0.0145  4 Tb 3.46-3.72, 1 In 3.51, 4 Sm 3.52-3.66
Sm  0.5385  0.4324  0.7822  3 Tb 3.34-3.52, 6 Sm 3.35-3.73
Sm  0.3615  0.0145  0.1831  4 Tb 3.46-3.72, 1 In 3.51, 4 Sm 3.52-3.66
Sm  0.6385  0.9855  0.8169  4 Tb 3.46-3.72, 1 In 3.51, 4 Sm 3.52-3.66
Sm  0.4324  0.7822  0.5385  3 Tb 3.34-3.52, 6 Sm 3.35-3.73
Sm  0.2178  0.4615  0.5676  3 Tb 3.34-3.52, 6 Sm 3.35-3.73
Sm  0.8169  0.6385  0.9855  4 Tb 3.46-3.72, 1 In 3.51, 4 Sm 3.52-3.66
Sm  0.4615  0.5676  0.2178  3 Tb 3.34-3.52, 6 Sm 3.35-3.73
Sm  0.5676  0.2178  0.4615  3 Tb 3.34-3.52, 6 Sm 3.35-3.73
Tb  0.7431  0.9026  0.2916  7 Sm 3.34-3.72, 1 In 3.40, 2 Tb 3.44
Tb  0.9026  0.2916  0.7431  7 Sm 3.34-3.72, 1 In 3.40, 2 Tb 3.44
Tb  0.0974  0.7084  0.2569  7 Sm 3.34-3.72, 1 In 3.40, 2 Tb 3.44
Tb  0.2916  0.7431  0.9026  7 Sm 3.34-3.72, 1 In 3.40, 2 Tb 3.44
Tb  0.7084  0.2569  0.0974  7 Sm 3.34-3.72, 1 In 3.40, 2 Tb 3.44
Tb  0.2569  0.0974  0.7084  7 Sm 3.34-3.72, 1 In 3.40, 2 Tb 3.44
In  0.0000  0.0000  0.0000  6 Tb 3.40, 6 Sm 3.51


Entry 2:
The following is a GGA-PBE calculation of Tb12Sm7In after structural relaxation, from the Alexandria database.

Properties
Calculated volume: 32.89 Å³ per atom
ΔH_f (0 K): 152.4 meV/atom
Space group: R-3

abc: 8.7042 8.7042 8.7042
angles: 87.61 87.61 87.61
With the nearest neighbours (Å) after each atom.
Fractional positions:
Tb  0.5022  0.6115  0.1410  4 Tb 3.19-3.50, 2 Sm 3.23-3.54
Tb  0.7492  0.2570  0.1340  1 In 3.28, 5 Tb 3.31-3.51, 2 Sm 3.56-3.65
Tb  0.2570  0.1340  0.7492  1 In 3.28, 5 Tb 3.31-3.51, 2 Sm 3.56-3.65
Tb  0.8660  0.2508  0.7430  1 In 3.28, 5 Tb 3.31-3.51, 2 Sm 3.56-3.65
Tb  0.7430  0.8660  0.2508  1 In 3.28, 5 Tb 3.31-3.51, 2 Sm 3.56-3.65
Tb  0.1410  0.5022  0.6115  4 Tb 3.19-3.50, 2 Sm 3.23-3.54
Tb  0.1340  0.7492  0.2570  1 In 3.28, 5 Tb 3.31-3.51, 2 Sm 3.56-3.65
Tb  0.2508  0.7430  0.8660  1 In 3.28, 5 Tb 3.31-3.51, 2 Sm 3.56-3.65
Tb  0.4978  0.3885  0.8590  4 Tb 3.19-3.50, 2 Sm 3.23-3.54
Tb  0.6115  0.1410  0.5022  4 Tb 3.19-3.50, 2 Sm 3.23-3.54
Tb  0.8590  0.4978  0.3885  4 Tb 3.19-3.50, 2 Sm 3.23-3.54
Tb  0.3885  0.8590  0.4978  4 Tb 3.19-3.50, 2 Sm 3.23-3.54
Sm  0.8548  0.6108  0.9236  3 Sm 3.40-3.43, 7 Tb 3.54-3.80, 1 In 3.76
Sm  0.1452  0.3892  0.0764  3 Sm 3.40-3.43, 7 Tb 3.54-3.80, 1 In 3.76
Sm  0.5000  0.5000  0.5000  6 Tb 3.23
Sm  0.0764  0.1452  0.3892  3 Sm 3.40-3.43, 7 Tb 3.54-3.80, 1 In 3.76
Sm  0.9236  0.8548  0.6108  3 Sm 3.40-3.43, 7 Tb 3.54-3.80, 1 In 3.76
Sm  0.6108  0.9236  0.8548  3 Sm 3.40-3.43, 7 Tb 3.54-3.80, 1 In 3.76
Sm  0.3892  0.0764  0.1452  3 Sm 3.40-3.43, 7 Tb 3.54-3.80, 1 In 3.76
In  0.0000  0.0000  0.0000  6 Tb 3.28


Number 1: theoretical density 7.567 g/cm³, total moment 0.000 μB/cell, energy -4.52 eV per atom. Number 2: theoretical density 7.761 g/cm³, total moment 0.000 μB/cell, energy -4.41 eV per atom.